No. 1
A relaxed structure of CaPrAlAg, computed with PBE.

The structure in POSCAR format:
```
CaPrAlAg
1.0
3.700 0.000 0.000
0.000 3.700 0.000
0.000 0.000 7.646
Ca Pr Al Ag
1 1 1 1
Direct
0.000 0.000 0.000
0.000 0.000 0.496
0.500 0.500 0.252
0.500 0.500 0.761
```

Output
Its space-group type is P4mm, No. 99. The energy above the lowest structure with this stoichiometry comes out at 14 meV/atom. The calculation puts the volume at 26.16 A^3/atom. The calculation puts the density of states at the Fermi level at 3.00 states/eV/cell.


No. 2
A relaxed structure of BaMgVBr2, computed with PBE.

The structure in POSCAR format:
```
BaMgVBr2
1.0
5.095 0.000 0.000
0.000 5.095 0.000
0.000 0.000 9.878
Ba Mg V Br
1 1 1 2
Direct
0.000 0.000 0.000
0.000 0.000 0.500
0.500 0.500 0.000
0.000 0.500 0.500
0.500 0.000 0.500
```

Output
The uncorrected formation energy is 15.22 kJ/mol of atoms. Its space-group type is P4/mmm, No. 123. The calculation puts the volume at 51.28 A^3/atom. The calculation puts the density of states at the Fermi level at 7.92 states/eV/cell.


No. 3
A relaxed structure of AcPuCd17, computed with PBE.

The structure in POSCAR format:
```
AcPuCd17
1.0
5.088 2.937 5.042
-5.088 2.937 5.042
0.000 -5.875 5.042
Ac Pu Cd
1 1 17
Direct
0.000 0.000 0.000
0.664 0.664 0.664
0.034 0.338 0.631
0.034 0.631 0.338
0.199 0.685 0.685
0.240 0.240 0.240
0.322 0.322 0.849
0.322 0.849 0.322
0.338 0.034 0.631
0.338 0.631 0.034
0.439 0.439 0.439
0.522 0.963 0.963
0.631 0.034 0.338
0.631 0.338 0.034
0.685 0.199 0.685
0.685 0.685 0.199
0.849 0.322 0.322
0.963 0.522 0.963
0.963 0.963 0.522
```

Output
Its space-group type is R3m, No. 160. For the total DFT energy (no corrections), the calculation gives -1.90 eV per atom. The calculation puts the volume at 23.80 A^3/atom. The calculation puts the density of states at the Fermi level at 19.81 states/eV/cell.